# GGA-PBE BeCo3B, relaxed
# * final energy: -6.253 eV/atom
# * calculated formation energy: 0.091 eV per atom
# * volume: 10.3 Å³ per atom
# * M_tot: 0.4040 μB per atom
# * space-group type: Pm-3m, No. 221
data_BeCo3B
_space_group_name_H-M_alt 'P 1'
_space_group_IT_number 1
_cell_length_a 3.715
_cell_length_b 3.715
_cell_length_c 3.715
_cell_angle_alpha 90.00
_cell_angle_beta 90.00
_cell_angle_gamma 90.00
loop_
_space_group_symop_operation_xyz
'x,y,z'
loop_
_atom_site_label
_atom_site_type_symbol
_atom_site_fract_x
_atom_site_fract_y
_atom_site_fract_z
_atom_site_occupancy
Be1 Be 0.000 0.000 0.000 1
Co1 Co 0.000 0.500 0.500 1
Co2 Co 0.500 0.000 0.500 1
Co3 Co 0.500 0.500 0.000 1
B1 B 0.500 0.500 0.500 1